A geometry-optimized K6InCl8 structure. Source: Alexandria, functional PBE.

Output
total DFT energy (no corrections): -3.30 eV/atom
total magnetic moment: 1.0 μB/cell
crystal system: trigonal
V: 32.86 Å³ per atom
formation energy (no corrections): -1.693 eV/atom

Cell: 9.117 9.117 6.848 Å, 90.00 90.00 120.00°
Fractional positions:
K 0.000 0.378 0.216
K 0.000 0.622 0.784
K 0.378 0.000 0.216
K 0.378 0.378 0.784
K 0.622 0.000 0.784
K 0.622 0.622 0.216
In 0.000 0.000 0.500
Cl 0.000 0.269 0.705
Cl 0.000 0.731 0.295
Cl 0.269 0.000 0.705
Cl 0.269 0.269 0.295
Cl 0.333 0.667 0.000
Cl 0.667 0.333 0.000
Cl 0.731 0.000 0.295
Cl 0.731 0.731 0.705